This record from Alexandria via LeMat-Bulk describes LiPmTlPb after structural relaxation. The functional is PBE.

a b c (Å): 4.5304 4.7320 4.8711
angles (deg): 90.00 90.00 90.00
Fractional coordinates of all 4 atoms:
Li 0.0000 0.0000 0.0000
Pm 0.0000 0.5000 0.5000
Tl 0.5000 0.5000 0.0000
Pb 0.5000 0.0000 0.5000

Results
ΔE to the lowest computed polymorph   0.0 meV per atom
Uncorrected energy   -14.3 eV/cell
Magnetization   0.000 μB/atom
Calculated formation energy   -381 meV/atom

This record from Alexandria via LeMat-Bulk describes SmGaCu after structural relaxation. The functional is PBE.

a b c (Å): 4.5290 4.5290 4.5290
angles (deg): 60.00 60.00 60.00
Fractional coordinates of all 3 atoms:
Sm 0.0000 0.0000 0.0000
Ga 0.5000 0.5000 0.5000
Cu 0.7500 0.7500 0.7500

Results
Uncorrected energy   -12.8 eV/cell
Magnetization   0.000 μB/atom
Calculated formation energy   -330 meV/atom

This record from Alexandria via LeMat-Bulk describes SrLiSnSbO6 after structural relaxation. The functional is PBE.

a b c (Å): 5.6957 5.6957 5.6957
angles (deg): 60.00 60.00 60.00
Fractional coordinates of all 10 atoms:
Sr 0.0000 0.0000 0.0000
Li 0.5000 0.5000 0.5000
Sn 0.2500 0.2500 0.2500
Sb 0.7500 0.7500 0.7500
O 0.5042 0.5042 0.9958
O 0.5042 0.9958 0.5042
O 0.5042 0.9958 0.9958
O 0.9958 0.5042 0.5042
O 0.9958 0.5042 0.9958
O 0.9958 0.9958 0.5042

Results
Formation energy (no corrections)   -1801 meV/atom
Uncorrected energy   -59.5 eV/cell
Magnetization   0.000 μB/atom

This record from Alexandria via LeMat-Bulk describes Ni3Mo2Pd2 after structural relaxation. The functional is PBE.

a b c (Å): 4.7239 4.7239 5.9976
angles (deg): 97.83 97.83 46.30
Fractional coordinates of all 7 atoms:
Ni 0.0000 0.0000 0.0000
Ni 0.2902 0.2902 0.8601
Ni 0.7098 0.7098 0.1399
Mo 0.1532 0.1532 0.4123
Mo 0.8468 0.8468 0.5877
Pd 0.4294 0.4294 0.2713
Pd 0.5706 0.5706 0.7287

Results
Uncorrected energy   -49.0 eV/cell
Magnetization   0.000 μB/atom
Calculated formation energy   55 meV/atom

This record from Alexandria via LeMat-Bulk describes CaY2In after structural relaxation. The functional is PBE.

a b c (Å): 6.6660 6.6660 3.4580
angles (deg): 101.93 101.93 119.01
Fractional coordinates of all 4 atoms:
Ca 0.0000 0.0000 0.0000
Y 0.0000 0.5000 0.5000
Y 0.5000 0.0000 0.5000
In 0.5000 0.5000 0.0000

Results
Uncorrected energy   -18.0 eV/cell
Magnetization   0.000 μB/atom
Calculated formation energy   -85 meV/atom

This record from Alexandria via LeMat-Bulk describes NaCd2Pb6 after structural relaxation. The functional is PBE.

a b c (Å): 8.6878 8.6878 8.6878
angles (deg): 45.48 45.48 45.48
Fractional coordinates of all 9 atoms:
Na 0.0000 0.0000 0.0000
Cd 0.6054 0.6054 0.6054
Cd 0.7367 0.7367 0.7367
Pb 0.0572 0.0606 0.5531
Pb 0.0606 0.5531 0.0572
Pb 0.2784 0.7694 0.2832
Pb 0.2832 0.2784 0.7694
Pb 0.5531 0.0572 0.0606
Pb 0.7694 0.2832 0.2784

Results
ΔE to the lowest computed polymorph   106.1 meV per atom
Uncorrected energy   -24.4 eV/cell
Magnetization   0.000 μB/atom
Calculated formation energy   106 meV/atom

This record from Alexandria via LeMat-Bulk describes CsPuS3 after structural relaxation. The functional is PBE.

a b c (Å): 5.2454 5.2454 5.2454
angles (deg): 90.00 90.00 90.00
Fractional coordinates of all 5 atoms:
Cs 0.0000 0.0000 0.0000
Pu 0.5000 0.5000 0.5000
S 0.0000 0.5000 0.5000
S 0.5000 0.0000 0.5000
S 0.5000 0.5000 0.0000

Results
Formation energy (no corrections)   -1239 meV/atom
ΔE to the lowest computed polymorph   0.0 meV per atom
Uncorrected energy   -33.8 eV/cell
Magnetization   0.600 μB/atom

This record from Alexandria via LeMat-Bulk describes Tl2BiPt2 after structural relaxation. The functional is PBE.

a b c (Å): 7.1785 7.1785 7.1785
angles (deg): 145.73 145.73 49.25
Fractional coordinates of all 5 atoms:
Tl 0.2500 0.7500 0.5000
Tl 0.7500 0.2500 0.5000
Bi 0.0000 0.0000 0.0000
Pt 0.3983 0.3983 0.0000
Pt 0.6017 0.6017 0.0000

Results
ΔE to the lowest computed polymorph   175.0 meV per atom
Uncorrected energy   -20.2 eV/cell
Magnetization   0.000 μB/atom
Calculated formation energy   106 meV/atom

This record from Alexandria via LeMat-Bulk describes LaTa2Mn after structural relaxation. The functional is PBE.

a b c (Å): 3.2858 4.7563 5.1035
angles (deg): 90.00 90.00 90.00
Fractional coordinates of all 4 atoms:
La 0.0000 0.0000 0.0000
Ta 0.0000 0.5000 0.5000
Ta 0.5000 0.0000 0.5000
Mn 0.5000 0.5000 0.0000

Results
ΔE to the lowest computed polymorph   311.2 meV per atom
Uncorrected energy   -35.5 eV/cell
Magnetization   0.572 μB/atom
Calculated formation energy   570 meV/atom

This record from Alexandria via LeMat-Bulk describes GeSe3S after structural relaxation. The functional is PBE.

a b c (Å): 4.9829 4.9829 4.9829
angles (deg): 90.00 90.00 90.00
Fractional coordinates of all 5 atoms:
Ge 0.0000 0.0000 0.0000
Se 0.0000 0.0000 0.5000
Se 0.0000 0.5000 0.0000
Se 0.5000 0.0000 0.0000
S 0.5000 0.5000 0.5000

Results
Formation energy (no corrections)   829 meV/atom
ΔE to the lowest computed polymorph   319.1 meV per atom
Uncorrected energy   -15.1 eV/cell
Magnetization   0.270 μB/atom

This record from Alexandria via LeMat-Bulk describes ZrBeSb2 after structural relaxation. The functional is PBE.

a b c (Å): 4.7193 4.7193 3.7345
angles (deg): 90.00 90.00 90.00
Fractional coordinates of all 4 atoms:
Zr 0.0000 0.0000 0.0000
Be 0.5000 0.5000 0.0000
Sb 0.0000 0.5000 0.5000
Sb 0.5000 0.0000 0.5000

Results
Formation energy (no corrections)   69 meV/atom
Uncorrected energy   -20.2 eV/cell
Magnetization   0.000 μB/atom

This record from Alexandria via LeMat-Bulk describes Zn4Ru after structural relaxation. The functional is PBE.

a b c (Å): 4.4848 4.4848 5.6413
angles (deg): 119.93 119.93 65.63
Fractional coordinates of all 5 atoms:
Zn 0.0000 0.5000 0.0000
Zn 0.1501 0.1501 0.4629
Zn 0.5000 0.0000 0.0000
Zn 0.8499 0.8499 0.5371
Ru 0.5000 0.5000 0.5000

Results
ΔE to the lowest computed polymorph   93.7 meV per atom
Uncorrected energy   -14.2 eV/cell
Magnetization   0.000 μB/atom
Calculated formation energy   36 meV/atom

This record from Alexandria via LeMat-Bulk describes Ho3ScSb3 after structural relaxation. The functional is PBE.

a b c (Å): 7.9150 7.9150 7.9150
angles (deg): 67.29 67.29 67.29
Fractional coordinates of all 14 atoms:
Ho 0.0877 0.8237 0.3410
Ho 0.1763 0.6590 0.9123
Ho 0.3410 0.0877 0.8237
Ho 0.6590 0.9123 0.1763
Ho 0.8237 0.3410 0.0877
Ho 0.9123 0.1763 0.6590
Sc 0.3336 0.3336 0.3336
Sc 0.6664 0.6664 0.6664
Sb 0.0756 0.4754 0.6909
Sb 0.3091 0.9244 0.5246
Sb 0.4754 0.6909 0.0756
Sb 0.5246 0.3091 0.9244
Sb 0.6909 0.0756 0.4754
Sb 0.9244 0.5246 0.3091

Results
Formation energy (no corrections)   -862 meV/atom
Uncorrected energy   -76.9 eV/cell
Magnetization   0.000 μB/atom

This record from Alexandria via LeMat-Bulk describes CaCd2Rh after structural relaxation. The functional is PBE.

a b c (Å): 3.4556 3.4556 7.2774
angles (deg): 90.00 90.00 90.00
Fractional coordinates of all 4 atoms:
Ca 0.0000 0.0000 0.0000
Cd 0.0000 0.0000 0.5693
Cd 0.5000 0.5000 0.3211
Rh 0.5000 0.5000 0.7591

Results
Uncorrected energy   -12.1 eV/cell
Magnetization   0.000 μB/atom
Calculated formation energy   -221 meV/atom

This record from Alexandria via LeMat-Bulk describes Ba2CoPd after structural relaxation. The functional is PBE.

a b c (Å): 6.9123 6.9123 6.9123
angles (deg): 106.06 106.06 116.54
Fractional coordinates of all 8 atoms:
Ba 0.1194 0.6250 0.9944
Ba 0.3750 0.3694 0.4944
Ba 0.6306 0.1250 0.0056
Ba 0.8750 0.8806 0.5056
Co 0.0000 0.0000 0.0000
Co 0.7500 0.2500 0.5000
Pd 0.2500 0.7500 0.5000
Pd 0.5000 0.5000 0.0000

Results
Uncorrected energy   -29.3 eV/cell
Magnetization   0.267 μB/atom
Calculated formation energy   377 meV/atom

This record from Alexandria via LeMat-Bulk describes Cd2InAg after structural relaxation. The functional is PBE.

a b c (Å): 7.0057 7.0057 7.0057
angles (deg): 155.14 139.15 48.41
Fractional coordinates of all 4 atoms:
Cd 0.0000 0.0000 0.0000
Cd 0.6986 0.1986 0.5000
In 0.2957 0.7957 0.5000
Ag 0.4985 0.4985 0.0000

Results
Uncorrected energy   -7.3 eV/cell
Magnetization   0.000 μB/atom
Calculated formation energy   22 meV/atom

This record from Alexandria via LeMat-Bulk describes Nd4SiSbTe2 after structural relaxation. The functional is PBE.

a b c (Å): 7.7270 4.4396 7.7757
angles (deg): 90.00 109.15 90.00
Fractional coordinates of all 8 atoms:
Nd 0.2314 0.0000 0.2270
Nd 0.2428 0.5000 0.7676
Nd 0.7572 0.5000 0.2324
Nd 0.7686 0.0000 0.7730
Si 0.0000 0.5000 0.0000
Sb 0.5000 0.0000 0.0000
Te 0.0000 0.0000 0.5000
Te 0.5000 0.5000 0.5000

Results
Formation energy (no corrections)   -1248 meV/atom
Uncorrected energy   -44.9 eV/cell
Magnetization   0.000 μB/atom

This record from Alexandria via LeMat-Bulk describes Ac2NiH6Pd after structural relaxation. The functional is PBE.

a b c (Å): 5.4083 5.4083 5.5835
angles (deg): 119.82 119.82 88.40
Fractional coordinates of all 10 atoms:
Ac 0.2498 0.7502 0.0000
Ac 0.7502 0.2498 0.0000
Ni 0.0004 0.0004 0.5000
H 0.2095 0.2095 0.9190
H 0.2204 0.2204 0.4984
H 0.2512 0.7494 0.5000
H 0.7494 0.2512 0.5000
H 0.7792 0.7792 0.5014
H 0.7899 0.7899 0.0810
Pd 0.5029 0.5029 0.5003

Results
Uncorrected energy   -43.7 eV/cell
Magnetization   0.000 μB/atom

This record from Alexandria via LeMat-Bulk describes In4H2I5 after structural relaxation. The functional is PBE.

a b c (Å): 4.3518 8.4963 10.6702
angles (deg): 106.59 101.33 90.51
Fractional coordinates of all 11 atoms:
In 0.0218 0.3039 0.0333
In 0.3346 0.4457 0.6755
In 0.6654 0.5543 0.3245
In 0.9782 0.6961 0.9667
H 0.4240 0.5618 0.8562
H 0.5760 0.4382 0.1438
I 0.1588 0.7966 0.3025
I 0.1813 0.3006 0.3662
I 0.5000 0.0000 0.0000
I 0.8187 0.6994 0.6338
I 0.8412 0.2034 0.6975

Results
Uncorrected energy   -27.7 eV/cell
Magnetization   0.000 μB/atom

This record from Alexandria via LeMat-Bulk describes TcAsBr2O after structural relaxation. The functional is PBE.

a b c (Å): 4.7385 4.7385 4.4181
angles (deg): 90.00 90.00 90.00
Fractional coordinates of all 5 atoms:
Tc 0.0000 0.0000 0.0000
As 0.5000 0.5000 0.0000
Br 0.0000 0.5000 0.5000
Br 0.5000 0.0000 0.5000
O 0.5000 0.5000 0.5000

Results
Formation energy (no corrections)   964 meV/atom
ΔE to the lowest computed polymorph   137.3 meV per atom
Uncorrected energy   -18.5 eV/cell
Magnetization   0.783 μB/atom

This record from Alexandria via LeMat-Bulk describes Ba2SrGe2O6 after structural relaxation. The functional is PBE.

a b c (Å): 7.3539 7.3539 7.3539
angles (deg): 48.13 48.13 48.13
Fractional coordinates of all 11 atoms:
Ba 0.2039 0.2039 0.2039
Ba 0.7961 0.7961 0.7961
Sr 0.0000 0.0000 0.0000
Ge 0.4004 0.4004 0.4004
Ge 0.5996 0.5996 0.5996
O 0.2447 0.7369 0.7369
O 0.2631 0.2631 0.7553
O 0.2631 0.7553 0.2631
O 0.7369 0.2447 0.7369
O 0.7369 0.7369 0.2447
O 0.7553 0.2631 0.2631

Results
Formation energy (no corrections)   -2141 meV/atom
Uncorrected energy   -68.1 eV/cell
Magnetization   0.175 μB/atom

This record from Alexandria via LeMat-Bulk describes ScCo2Ir after structural relaxation. The functional is PBE.

a b c (Å): 9.5263 9.5263 9.5263
angles (deg): 157.49 157.49 32.05
Fractional coordinates of all 8 atoms:
Sc 0.0000 0.0000 0.0000
Sc 0.7500 0.2500 0.5000
Co 0.1967 0.6250 0.0717
Co 0.3750 0.4467 0.5717
Co 0.5533 0.1250 0.9283
Co 0.8750 0.8033 0.4283
Ir 0.2500 0.7500 0.5000
Ir 0.5000 0.5000 0.0000

Results
Uncorrected energy   -57.7 eV/cell
Magnetization   0.805 μB/atom
Calculated formation energy   134 meV/atom

This record from Alexandria via LeMat-Bulk describes Ho2Pa3Co4 after structural relaxation. The functional is PBE.

a b c (Å): 7.7619 7.1695 6.6448
angles (deg): 90.00 109.31 90.00
Fractional coordinates of all 18 atoms:
Ho 0.1897 0.1756 0.0709
Ho 0.1897 0.3244 0.5709
Ho 0.8103 0.6756 0.4291
Ho 0.8103 0.8244 0.9291
Pa 0.2311 0.6616 0.2377
Pa 0.2311 0.8384 0.7377
Pa 0.5000 0.0000 0.5000
Pa 0.5000 0.5000 0.0000
Pa 0.7689 0.1616 0.2623
Pa 0.7689 0.3384 0.7623
Co 0.0784 0.5578 0.8613
Co 0.0784 0.9422 0.3613
Co 0.4863 0.6218 0.6401
Co 0.4863 0.8782 0.1401
Co 0.5137 0.1218 0.8599
Co 0.5137 0.3782 0.3599
Co 0.9216 0.0578 0.6387
Co 0.9216 0.4422 0.1387

Results
Uncorrected energy   -138.0 eV/cell
Magnetization   0.000 μB/atom
Calculated formation energy   -329 meV/atom

This record from Alexandria via LeMat-Bulk describes Li4ScZn5 after structural relaxation. The functional is PBE.

a b c (Å): 3.1913 3.1913 15.3263
angles (deg): 90.00 90.00 90.00
Fractional coordinates of all 10 atoms:
Li 0.0000 0.0000 0.0939
Li 0.0000 0.0000 0.2860
Li 0.0000 0.0000 0.7140
Li 0.0000 0.0000 0.9061
Sc 0.0000 0.0000 0.5000
Zn 0.5000 0.5000 0.0000
Zn 0.5000 0.5000 0.1885
Zn 0.5000 0.5000 0.3794
Zn 0.5000 0.5000 0.6206
Zn 0.5000 0.5000 0.8115

Results
Uncorrected energy   -22.3 eV/cell
Magnetization   0.028 μB/atom
Calculated formation energy   -191 meV/atom

This record from Alexandria via LeMat-Bulk describes Hg2AsPd after structural relaxation. The functional is PBE.

a b c (Å): 10.4746 10.4746 10.4746
angles (deg): 157.44 157.44 32.12
Fractional coordinates of all 8 atoms:
Hg 0.1200 0.6250 0.9950
Hg 0.3750 0.3700 0.4950
Hg 0.6300 0.1250 0.0050
Hg 0.8750 0.8800 0.5050
As 0.2500 0.7500 0.5000
As 0.5000 0.5000 0.0000
Pd 0.0000 0.0000 0.0000
Pd 0.7500 0.2500 0.5000

Results
Uncorrected energy   -19.7 eV/cell
Magnetization   0.000 μB/atom
Calculated formation energy   144 meV/atom